# BaHf3Sc | the Alexandria database | meta-GGA SCAN | single point on PBEsol structure
# Space group ... Pm-3m (221)
# DFT formation energy ... 1.17 eV/atom
# Fermi-level density of states ... 1.77 states/eV per atom
# Total DFT energy (no corrections) ... -47.189 eV per atom
data_BaHf3Sc
_cell_length_a 5.2191
_cell_length_b 5.2191
_cell_length_c 5.2191
_cell_angle_alpha 90.00
_cell_angle_beta 90.00
_cell_angle_gamma 90.00
_space_group_name_H-M_alt 'P 1'
_space_group_IT_number 1
_space_group_name_Hall 'P 1'
loop_
_atom_site_label
_atom_site_fract_x
_atom_site_fract_y
_atom_site_fract_z
Ba1 0.0000 0.0000 0.0000
Hf1 0.0000 0.5000 0.5000
Hf2 0.5000 0.0000 0.5000
Hf3 0.5000 0.5000 0.0000
Sc1 0.5000 0.5000 0.5000



# MnAgAu2 | the Alexandria database | meta-GGA SCAN | single point on PBEsol structure
# Space group ... I-4m2 (119)
# DFT formation energy ... -0.28 eV/atom
# Fermi-level density of states ... 0.33 states/eV per atom
# Total DFT energy (no corrections) ... -47.263 eV per atom
data_MnAgAu2
_cell_length_a 4.9498
_cell_length_b 4.9498
_cell_length_c 4.9498
_cell_angle_alpha 132.60
_cell_angle_beta 132.60
_cell_angle_gamma 69.28
_space_group_name_H-M_alt 'P 1'
_space_group_IT_number 1
_space_group_name_Hall 'P 1'
loop_
_atom_site_label
_atom_site_fract_x
_atom_site_fract_y
_atom_site_fract_z
Mn1 0.0000 0.0000 0.0000
Ag1 0.2500 0.7500 0.5000
Au1 0.5000 0.5000 0.0000
Au2 0.7500 0.2500 0.5000



# RbMg2Cd2 | the Alexandria database | meta-GGA SCAN | single point on PBEsol structure
# Space group ... I4/mmm (139)
# DFT formation energy ... -0.04 eV/atom
# Fermi-level density of states ... 0.60 states/eV per atom
# Total DFT energy (no corrections) ... -18.342 eV per atom
# Energy above the most stable polymorph in this dataset ... 0.00 eV per formula unit
data_RbMg2Cd2
_cell_length_a 7.1588
_cell_length_b 7.1588
_cell_length_c 7.1588
_cell_angle_alpha 140.17
_cell_angle_beta 140.17
_cell_angle_gamma 57.59
_space_group_name_H-M_alt 'P 1'
_space_group_IT_number 1
_space_group_name_Hall 'P 1'
loop_
_atom_site_label
_atom_site_fract_x
_atom_site_fract_y
_atom_site_fract_z
Rb1 0.0000 0.0000 0.0000
Mg1 0.2500 0.7500 0.5000
Mg2 0.7500 0.2500 0.5000
Cd1 0.3847 0.3847 0.0000
Cd2 0.6153 0.6153 0.0000